DFT (meta-GGA SCAN) results for a crystal of AsP2I relaxed with PBEsol.

Values from the calculation:
Its volume is 18.945 Å³ per atom. For the uncorrected formation energy, the calculation gives 1.09 eV/atom. As for the total energy: -73.38 eV/f.u.

Lattice parameters (Å, degrees): 6.717 6.717 6.717 90.00 90.00 90.00
Space group Fm-3m (No. 225)
Symmetry-distinct sites (fractional):
As1 0.000 0.000 0.000 [4 per cell]
P1 0.250 0.250 0.250 [8 per cell]
I1 0.000 0.000 0.500 [4 per cell]

=====

DFT (meta-GGA SCAN) results for a crystal of Ca4AgCl relaxed with PBEsol.

Values from the calculation:
Its volume is 35.781 Å³ per atom. For the uncorrected formation energy, the calculation gives 0.20 eV/atom. As for the total energy: -76.80 eV/f.u.

Lattice parameters (Å, degrees): 9.505 9.505 9.505 90.00 90.00 90.00
Space group F-43m (No. 216)
Symmetry-distinct sites (fractional):
Ca1 0.124 0.124 0.124 [16 per cell]
Ag1 0.250 0.250 0.750 [4 per cell]
Cl1 0.000 0.000 0.500 [4 per cell]

=====

DFT (meta-GGA SCAN) results for a crystal of NaInMo2O8 relaxed with PBEsol.

Values from the calculation:
Its volume is 15.748 Å³ per atom. For the uncorrected formation energy, the calculation gives -2.10 eV/atom. As for the total energy: -182.44 eV/f.u.

Lattice parameters (Å, degrees): 7.145 7.148 15.021 91.85 92.99 99.05
Space group P-1 (No. 2)
Symmetry-distinct sites (fractional):
Na1 0.021 0.171 0.361 [2 per cell]
Na2 0.455 0.813 0.867 [2 per cell]
In1 0.174 0.808 0.114 [2 per cell]
In2 0.313 0.217 0.585 [2 per cell]
Mo1 0.025 0.263 0.117 [2 per cell]
Mo2 0.163 0.729 0.362 [2 per cell]
Mo3 0.341 0.273 0.844 [2 per cell]
Mo4 0.456 0.746 0.611 [2 per cell]
O1 0.010 0.166 0.579 [2 per cell]
O2 0.088 0.491 0.346 [2 per cell]
O3 0.096 0.794 0.789 [2 per cell]
O4 0.122 0.177 0.887 [2 per cell]
O5 0.131 0.505 0.124 [2 per cell]
O6 0.153 0.777 0.973 [2 per cell]
O7 0.189 0.836 0.257 [2 per cell]
O8 0.204 0.117 0.105 [2 per cell]
O9 0.298 0.918 0.602 [2 per cell]
O10 0.322 0.190 0.442 [2 per cell]
O11 0.322 0.264 0.726 [2 per cell]
O12 0.336 0.518 0.576 [2 per cell]
O13 0.386 0.764 0.424 [2 per cell]
O14 0.397 0.503 0.883 [2 per cell]
O15 0.476 0.260 0.279 [2 per cell]
O16 0.477 0.857 0.116 [2 per cell]

=====

DFT (meta-GGA SCAN) results for a crystal of FeTe2Pb relaxed with PBEsol.

Values from the calculation:
Its volume is 23.546 Å³ per atom. For the uncorrected formation energy, the calculation gives 0.23 eV/atom. As for the total energy: -167.51 eV/f.u.

Lattice parameters (Å, degrees): 3.180 3.180 9.316 90.00 90.00 90.00
Space group P4mm (No. 99)
Symmetry-distinct sites (fractional):
Fe1 0.000 0.000 0.000 [1 per cell]
Te1 0.000 0.000 0.523 [1 per cell]
Te2 0.500 0.500 0.864 [1 per cell]
Pb1 0.500 0.500 0.213 [1 per cell]

=====

DFT (meta-GGA SCAN) results for a crystal of LiSe3N relaxed with PBEsol.

Values from the calculation:
Its volume is 18.924 Å³ per atom. For the uncorrected formation energy, the calculation gives 1.27 eV/atom. As for the total energy: -65.58 eV/f.u.

Lattice parameters (Å, degrees): 4.557 4.557 4.557 90.00 90.00 90.00
Space group Pm-3m (No. 221)
Symmetry-distinct sites (fractional):
Li1 0.000 0.000 0.000 [1 per cell]
Se1 0.000 0.000 0.500 [3 per cell]
N1 0.500 0.500 0.500 [1 per cell]

=====

DFT (meta-GGA SCAN) results for a crystal of ScTaTe relaxed with PBEsol.

Values from the calculation:
Its volume is 22.469 Å³ per atom. For the uncorrected formation energy, the calculation gives 0.19 eV/atom. The calculation puts the energy relative to the lowest polymorph listed for this composition at 1.04 eV per formula unit. As for the total energy: -117.50 eV/f.u.

Lattice parameters (Å, degrees): 6.460 6.460 6.460 90.00 90.00 90.00
Space group F-43m (No. 216)
Symmetry-distinct sites (fractional):
Sc1 0.000 0.000 0.000 [4 per cell]
Ta1 0.000 0.000 0.500 [4 per cell]
Te1 0.250 0.250 0.250 [4 per cell]

=====

DFT (meta-GGA SCAN) results for a crystal of HfZnCd2Cl relaxed with PBEsol.

Values from the calculation:
Its volume is 24.011 Å³ per atom. For the uncorrected formation energy, the calculation gives 0.32 eV/atom. As for the total energy: -143.37 eV/f.u.

Lattice parameters (Å, degrees): 4.833 4.833 5.140 90.00 90.00 90.00
Space group P4/mmm (No. 123)
Symmetry-distinct sites (fractional):
Hf1 0.000 0.000 0.000 [1 per cell]
Zn1 0.000 0.000 0.500 [1 per cell]
Cd1 0.000 0.500 0.500 [2 per cell]
Cl1 0.500 0.500 0.000 [1 per cell]

=====

DFT (meta-GGA SCAN) results for a crystal of LaTcB2 relaxed with PBEsol.

Values from the calculation:
Its volume is 17.013 Å³ per atom. As for the total energy: -93.23 eV/f.u. The calculated formation energy comes out at -0.05 eV/atom.

Lattice parameters (Å, degrees): 4.464 4.464 13.659 90.00 90.00 90.00
Space group I4_1/amd (No. 141, origin choice 2)
Symmetry-distinct sites (fractional):
La1 0.000 0.250 0.375 [4 per cell]
Tc1 0.000 0.250 0.875 [4 per cell]
B1 0.000 0.000 0.000 [8 per cell]